No. 1
Here is ZnAs2N after structural relaxation from Alexandria via LeMat-Bulk. Energies are from PBEsol.

Computed properties:
For the uncorrected formation energy, the calculation gives 0.500 eV per atom. The value obtained for the final energy is -4.5803 eV/atom. Its space-group type is I-42d (122).

a b c (Å): 6.345 6.345 6.345
angles (deg): 132.11 132.11 70.06
Atoms (fractional coordinates):
Zn 0.000 0.000 0.000
Zn 0.750 0.250 0.500
As 0.181 0.625 0.056
As 0.375 0.431 0.556
As 0.569 0.125 0.944
As 0.875 0.819 0.444
N 0.250 0.750 0.500
N 0.500 0.500 0.000



No. 2
Here is ZnHgAs after structural relaxation from Alexandria via LeMat-Bulk. Energies are from PBEsol.

Computed properties:
The value obtained for the final energy is -2.3178 eV/atom. Its space-group type is P3m1 (156).

a b c (Å): 4.059 4.059 4.258
angles (deg): 90.00 90.00 120.00
Atoms (fractional coordinates):
Zn 0.000 0.000 0.000
Hg 0.333 0.667 0.390
As 0.667 0.333 0.808



No. 3
Here is ZnSiO3 after structural relaxation from Alexandria via LeMat-Bulk. Energies are from PBEsol.

Computed properties:
For the uncorrected formation energy, the calculation gives -0.125 eV per atom. The value obtained for the final energy is -4.7408 eV/atom. Its space-group type is Pm-3m (221).

a b c (Å): 3.766 3.766 3.766
angles (deg): 90.00 90.00 90.00
Atoms (fractional coordinates):
Zn 0.000 0.000 0.000
Si 0.500 0.500 0.500
O 0.000 0.000 0.500
O 0.000 0.500 0.000
O 0.500 0.000 0.000



No. 4
Here is Tc2MoIr after structural relaxation from Alexandria via LeMat-Bulk. Energies are from PBEsol.

Computed properties:
The value obtained for the final energy is -10.7378 eV/atom. Its space-group type is F-43m (216). The value obtained for the polymorph energy (0 for the lowest one) is 40.96 kJ per mole of atoms.

a b c (Å): 4.346 4.346 4.346
angles (deg): 60.00 60.00 60.00
Atoms (fractional coordinates):
Tc 0.000 0.000 0.000
Tc 0.250 0.250 0.250
Mo 0.750 0.750 0.750
Ir 0.500 0.500 0.500



No. 5
Here is KMn2Pt after structural relaxation from Alexandria via LeMat-Bulk. Energies are from PBEsol.

Computed properties:
The value obtained for the final energy is -5.9944 eV/atom. Its space-group type is P4/mmm (123). The value obtained for the polymorph energy (0 for the lowest one) is 37.00 kJ per mole of atoms.

a b c (Å): 4.283 4.283 3.880
angles (deg): 90.00 90.00 90.00
Atoms (fractional coordinates):
K 0.000 0.000 0.000
Mn 0.000 0.500 0.500
Mn 0.500 0.000 0.500
Pt 0.500 0.500 0.000



No. 6
Here is BeCdCu2 after structural relaxation from Alexandria via LeMat-Bulk. Energies are from PBEsol.

Computed properties:
The value obtained for the final energy is -3.4780 eV/atom. Its space-group type is P4/mmm (123). The value obtained for the polymorph energy (0 for the lowest one) is 0.00 kJ per mole of atoms.

a b c (Å): 2.799 2.799 6.320
angles (deg): 90.00 90.00 90.00
Atoms (fractional coordinates):
Be 0.000 0.000 0.000
Cd 0.000 0.000 0.500
Cu 0.500 0.500 0.195
Cu 0.500 0.500 0.805



No. 7
Here is DySiPt after structural relaxation from Alexandria via LeMat-Bulk. Energies are from PBEsol.

Computed properties:
For the uncorrected formation energy, the calculation gives -1.244 eV per atom. The value obtained for the final energy is -7.1407 eV/atom. Its space-group type is Pnma (62).

a b c (Å): 6.914 4.252 7.372
angles (deg): 90.00 90.00 90.00
Atoms (fractional coordinates):
Dy 0.004 0.250 0.199
Dy 0.496 0.750 0.699
Dy 0.504 0.250 0.301
Dy 0.996 0.750 0.801
Si 0.185 0.250 0.587
Si 0.315 0.750 0.087
Si 0.685 0.250 0.913
Si 0.815 0.750 0.413
Pt 0.199 0.750 0.414
Pt 0.301 0.250 0.914
Pt 0.699 0.750 0.086
Pt 0.801 0.250 0.586



No. 8
Here is BaTm2Se4 after structural relaxation from Alexandria via LeMat-Bulk. Energies are from PBEsol.

Computed properties:
For the uncorrected formation energy, the calculation gives -1.971 eV per atom. The value obtained for the final energy is -5.8775 eV/atom. Its space-group type is Pnma (62).

a b c (Å): 12.555 4.104 14.852
angles (deg): 90.00 90.00 90.00
Atoms (fractional coordinates):
Ba 0.240 0.250 0.166
Ba 0.260 0.750 0.666
Ba 0.740 0.250 0.334
Ba 0.760 0.750 0.834
Tm 0.064 0.250 0.392
Tm 0.079 0.250 0.901
Tm 0.421 0.750 0.401
Tm 0.436 0.750 0.892
Tm 0.564 0.250 0.108
Tm 0.579 0.250 0.599
Tm 0.921 0.750 0.099
Tm 0.936 0.750 0.608
Se 0.024 0.750 0.783
Se 0.085 0.250 0.577
Se 0.126 0.750 0.025
Se 0.206 0.750 0.340
Se 0.294 0.250 0.840
Se 0.374 0.250 0.525
Se 0.415 0.750 0.077
Se 0.476 0.250 0.283
Se 0.524 0.750 0.717
Se 0.585 0.250 0.923
Se 0.626 0.750 0.475
Se 0.706 0.750 0.160
Se 0.794 0.250 0.660
Se 0.874 0.250 0.975
Se 0.915 0.750 0.423
Se 0.976 0.250 0.217